Computed, not measured: a crystal of Zr2MoRuPb relaxed with PBEsol at the meta-GGA SCAN level of DFT.

Symmetry: P4/mmm
Formation energy: 761.8 meV per atom

Geometry as POSCAR:
```
Zr2MoRuPb
1.0
4.840 0.000 0.000
0.000 4.840 0.000
0.000 0.000 5.033
Zr Mo Ru Pb
2 1 1 1
Direct
0.000 0.500 0.000 Zr
0.500 0.000 0.000 Zr
0.000 0.000 0.500 Mo
0.500 0.500 0.000 Ru
0.500 0.500 0.500 Pb
```